Record 1
First-principles (PBE-GGA) data for crystalline LiCuW at its relaxed geometry, as listed in Alexandria via LeMat-Bulk.

Values from the calculation:
DFT formation energy = 731 meV per atom
space group = No. 63
crystal system = orthorhombic
energy relative to the lowest polymorph listed for this composition = 1.17 eV/f.u.

Cell lengths 4.661, 9.197, 4.693 Å; angles 90.00, 90.00, 90.00 degrees
Fractional coordinates of all 12 atoms:
Li1 0.000 0.242 0.250
Li2 0.000 0.758 0.750
Li3 0.500 0.258 0.750
Li4 0.500 0.742 0.250
Cu1 0.000 0.500 0.000
Cu2 0.000 0.500 0.500
Cu3 0.500 0.000 0.000
Cu4 0.500 0.000 0.500
W1 0.000 0.049 0.750
W2 0.000 0.951 0.250
W3 0.500 0.451 0.250
W4 0.500 0.549 0.750

Record 2
First-principles (PBE-GGA) data for crystalline Ac2MnBePt6 at its relaxed geometry, as listed in Alexandria via LeMat-Bulk.

Values from the calculation:
DFT formation energy = -761 meV per atom
space group = No. 12
crystal system = monoclinic

Cell lengths 6.077, 6.077, 7.202 Å; angles 115.32, 115.32, 59.65 degrees
Fractional coordinates of all 10 atoms:
Ac1 0.223 0.223 0.170
Ac2 0.777 0.777 0.830
Mn1 0.500 0.500 0.000
Be1 0.000 0.000 0.500
Pt1 0.240 0.703 0.684
Pt2 0.241 0.241 0.680
Pt3 0.297 0.760 0.316
Pt4 0.703 0.240 0.684
Pt5 0.759 0.759 0.320
Pt6 0.760 0.297 0.316

> Among the records above, which one has the highest DFT formation energy?

LiCuW